Record 1
CePrP PBE-GGA optimized geometry; SG = P3m1; total energy = -6.21 eV/atom; size of the total moment = 2.05 μB/f.u.
1.0
4.000 0.000 0.000
-2.000 3.464 0.000
0.000 0.000 6.651
Ce Pr P
1 1 1
Direct
0.000 0.000 0.000 Ce
0.333 0.667 0.494 Pr
0.667 0.333 0.756 P


Record 2
CePr2P3 PBE-GGA optimized geometry; SG = Immm; energy above the lowest structure with this stoichiometry = 0 kJ/mol of formula units; size of the total moment = 0.48 μB/f.u.
1.0
4.164 0.000 0.000
0.000 5.890 0.000
0.000 0.000 12.490
Ce Pr P
2 4 6
Direct
0.000 0.000 0.000 Ce
0.500 0.500 0.500 Ce
0.000 0.000 0.333 Pr
0.000 0.000 0.667 Pr
0.500 0.500 0.167 Pr
0.500 0.500 0.833 Pr
0.000 0.500 0.000 P
0.000 0.500 0.340 P
0.000 0.500 0.660 P
0.500 0.000 0.160 P
0.500 0.000 0.500 P
0.500 0.000 0.840 P


Record 3
CePrP PBE-GGA optimized geometry; SG = F-43m; total energy = -6.14 eV/atom; size of the total moment = 1.30 μB/f.u.
1.0
6.904 0.000 0.000
0.000 6.904 0.000
0.000 0.000 6.904
Ce Pr P
4 4 4
Direct
0.000 0.000 0.000 Ce
0.000 0.500 0.500 Ce
0.500 0.000 0.500 Ce
0.500 0.500 0.000 Ce
0.000 0.000 0.500 Pr
0.000 0.500 0.000 Pr
0.500 0.000 0.000 Pr
0.500 0.500 0.500 Pr
0.250 0.250 0.250 P
0.250 0.750 0.750 P
0.750 0.250 0.750 P
0.750 0.750 0.250 P


Record 4
CePrP2 PBE-GGA optimized geometry; SG = R-3m; energy above the lowest structure with this stoichiometry = 0 kJ/mol of formula units; size of the total moment = 0.48 μB/f.u.
1.0
4.143 0.000 0.000
-2.071 3.588 0.000
0.000 0.000 20.316
Ce Pr P
3 3 6
Direct
0.000 0.000 0.000 Ce
0.333 0.667 0.667 Ce
0.667 0.333 0.333 Ce
0.000 0.000 0.500 Pr
0.333 0.667 0.167 Pr
0.667 0.333 0.833 Pr
0.000 0.000 0.253 P
0.000 0.000 0.747 P
0.333 0.667 0.413 P
0.333 0.667 0.920 P
0.667 0.333 0.080 P
0.667 0.333 0.587 P